Entry from Alexandria: BaY2Hf after structural relaxation (PBE). Values from VASP.

Energy relative to the lowest polymorph listed for this composition ... 0.0 meV per atom
Uncorrected energy ... -5.690 eV per atom
Energy of formation from the pure elements ... 0.511 eV/atom

```
&SYSTEM
  ibrav = 0, nat = 4, ntyp = 3
/
ATOMIC_SPECIES
Ba 137.33 Ba.upf
Y 88.91 Y.upf
Hf 178.49 Hf.upf
ATOMIC_POSITIONS crystal
Ba 0.000 0.000 0.000
Y 0.250 0.250 0.250
Y 0.750 0.750 0.750
Hf 0.500 0.500 0.500
CELL_PARAMETERS angstrom
0.000 4.030 4.030
4.030 0.000 4.030
4.030 4.030 0.000
```



Entry from Alexandria: BaYHf2 after structural relaxation (PBE). Values from VASP.

Energy relative to the lowest polymorph listed for this composition ... 295.5 meV per atom
Uncorrected energy ... -6.001 eV per atom
Energy of formation from the pure elements ... 1.072 eV/atom

```
&SYSTEM
  ibrav = 0, nat = 8, ntyp = 3
/
ATOMIC_SPECIES
Ba 137.33 Ba.upf
Y 88.91 Y.upf
Hf 178.49 Hf.upf
ATOMIC_POSITIONS crystal
Ba 0.000 0.000 0.000
Ba 0.750 0.250 0.500
Y 0.250 0.750 0.500
Y 0.500 0.500 0.000
Hf 0.131 0.125 0.506
Hf 0.375 0.869 0.994
Hf 0.619 0.625 0.494
Hf 0.875 0.381 0.006
CELL_PARAMETERS angstrom
-4.374 4.374 3.173
4.374 -4.374 3.173
4.374 4.374 -3.173
```



Entry from Alexandria: BaYHf2 after structural relaxation (PBE). Values from VASP.

Energy relative to the lowest polymorph listed for this composition ... 0.0 meV per atom
Uncorrected energy ... -6.297 eV per atom
Energy of formation from the pure elements ... 0.777 eV/atom

```
&SYSTEM
  ibrav = 0, nat = 4, ntyp = 3
/
ATOMIC_SPECIES
Ba 137.33 Ba.upf
Y 88.91 Y.upf
Hf 178.49 Hf.upf
ATOMIC_POSITIONS crystal
Ba 0.000 0.000 0.000
Y 0.500 0.500 0.500
Hf 0.250 0.250 0.250
Hf 0.750 0.750 0.750
CELL_PARAMETERS angstrom
0.000 3.869 3.869
3.869 0.000 3.869
3.869 3.869 0.000
```



Q: Which formula does entry 2 have?
A: BaYHf2